Compound: Li6Br2NF
Source: Alexandria
Functional: PBE
Structure: relaxed

## Properties
* Fermi-level density of states: 0.000 states/eV/cell
* raw formation energy: -1273 meV/atom
* raw total energy: -3.78 eV per atom

Lattice parameters (Å, degrees): 5.869 8.287 5.870 90.00 90.00 90.00
Atoms (fractional coordinates):
Li1 0.017 0.250 0.015
Li2 0.017 0.250 0.482
Li3 0.250 0.016 0.250
Li4 0.250 0.484 0.250
Li5 0.483 0.250 0.015
Li6 0.483 0.250 0.482
Li7 0.517 0.750 0.518
Li8 0.517 0.750 0.985
Li9 0.750 0.516 0.750
Li10 0.750 0.984 0.750
Li11 0.983 0.750 0.518
Li12 0.983 0.750 0.985
Br1 0.250 0.000 0.749
Br2 0.250 0.500 0.749
Br3 0.750 0.000 0.251
Br4 0.750 0.500 0.251
N1 0.250 0.250 0.249
N2 0.750 0.750 0.751
F1 0.250 0.750 0.249
F2 0.750 0.250 0.751

---

Compound: LiBrN2F
Source: Alexandria
Functional: PBE
Structure: relaxed

## Properties
* polymorph energy (0 for the lowest one): 0 meV/atom
* Fermi-level density of states: 2.198 states/eV/cell
* raw formation energy: 1066 meV/atom
* raw total energy: -3.36 eV per atom

Lattice parameters (Å, degrees): 3.796 3.796 5.278 90.00 90.00 90.00
Atoms (fractional coordinates):
Li1 0.000 0.000 0.000
Br1 0.500 0.500 0.500
N1 0.000 0.500 0.500
N2 0.500 0.000 0.500
F1 0.500 0.500 0.000

---

- What is the formula in the first record?
  Li6Br2NF

---

- What is the raw formation energy in the first record?
  -1273 meV/atom

---

- raw total energy of number 2 (LiBrN2F)?
  -3.36 eV per atom